Density functional theory data (PBE+U) for SrMnGaO4 after structural relaxation.

a b c (Å): 5.359 5.561 6.878
angles (deg): 90.00 106.78 90.00
Fractional positions:
Sr  0.228  0.250  0.458
Sr  0.772  0.750  0.542
Mn  0.411  0.250  0.006
Mn  0.589  0.750  0.994
Ga  0.193  0.750  0.165
Ga  0.807  0.250  0.835
O  0.052  0.250  0.078
O  0.153  0.750  0.416
O  0.499  0.526  0.189
O  0.499  0.974  0.189
O  0.501  0.026  0.811
O  0.501  0.474  0.811
O  0.847  0.250  0.584
O  0.948  0.750  0.922

Results
Final energy = -6.50 eV per atom
Magnetic moment = 8.0 μB/cell